Computed, not measured: crystalline LiVAs at its relaxed geometry at the PBE-GGA level of DFT.

POSCAR file:
```
LiVAs
1.0
10.284 0.000 0.000
0.000 10.284 0.000
5.142 5.142 2.312
As Li V
4 4 4
direct
0.000 0.275 0.000
0.275 0.000 0.000
0.000 0.725 0.000
0.725 0.000 0.000
0.500 0.297 0.000
0.297 0.500 0.000
0.500 0.703 0.000
0.703 0.500 0.000
0.221 0.779 0.000
0.779 0.221 0.000
0.779 0.779 0.000
0.221 0.221 0.000
```

Values from the calculation:
The value obtained for the excess energy over the best structure of this formula in the dataset is 696 meV per atom. The formation energy is 119 meV/atom.



Computed, not measured: crystalline V2Ir2Au at its relaxed geometry at the PBE-GGA level of DFT.

POSCAR file:
```
V2Ir2Au
1.0
-6.350 3.746 0.706
-3.172 -5.953 3.059
0.792 0.869 2.513
Ir Au V
4 2 4
direct
0.633 0.133 0.000
0.367 0.867 0.000
0.133 0.367 0.000
0.867 0.633 0.000
0.000 0.000 0.000
0.500 0.500 0.000
0.338 0.162 0.500
0.162 0.662 0.500
0.838 0.338 0.500
0.662 0.838 0.500
```

Values from the calculation:
The value obtained for the excess energy over the best structure of this formula in the dataset is 0 meV per atom. The formation energy is -309 meV/atom.



Number 1: N(E_F) 0.497 states/eV per atom. Number 2: N(E_F) 0.937 states/eV per atom.